# 1
Crystalline La2HoMg3Tl2In at its relaxed geometry, computed with PBE-GGA.

Summary:
Energy, eV/atom: -3.325

Lattice parameters (Å, degrees): 4.784 7.675 7.675 118.97 90.00 90.00
Positions (direct):
Mg 0.500 0.000 0.759
Mg 0.500 0.239 0.239
Mg 0.500 0.759 0.000
La 0.000 0.001 0.433
La 0.000 0.433 0.001
Tl 0.500 0.662 0.342
Tl 0.500 0.342 0.662
Ho 0.000 0.574 0.574
In 0.000 0.990 0.990

# 2
Crystalline SmAlGe at its relaxed geometry, computed with PBE-GGA.

Summary:
Energy, eV/atom: -4.464

Lattice parameters (Å, degrees): 4.674 4.674 4.674 60.00 60.00 60.00
Positions (direct):
Al 0.000 0.000 0.000
Ge 0.250 0.250 0.250
Sm 0.750 0.750 0.750

# 3
Crystalline PaInSi at its relaxed geometry, computed with PBE-GGA.

Summary:
Relative energy among the computed polymorphs, eV/f.u.: 0.84

Lattice parameters (Å, degrees): 4.885 4.885 4.885 60.00 60.00 60.00
Positions (direct):
In 0.250 0.250 0.250
Si 0.750 0.750 0.750
Pa 0.000 0.000 0.000

# 4
Crystalline Rb2Tm2AsP at its relaxed geometry, computed with PBE-GGA.

Summary:
Energy, eV/atom: -4.173

Lattice parameters (Å, degrees): 4.917 4.917 8.333 90.00 90.00 90.00
Positions (direct):
Tm 0.500 0.000 0.994
Tm 0.000 0.500 0.994
P 0.500 0.500 0.842
Rb 0.500 0.500 0.371
Rb 0.000 0.000 0.626
As 0.000 0.000 0.173

# 5
Crystalline TbSmNO at its relaxed geometry, computed with PBE-GGA.

Summary:
Relative energy among the computed polymorphs, eV/f.u.: 1.84

Lattice parameters (Å, degrees): 4.284 4.284 8.271 90.00 90.00 90.00
Positions (direct):
O 0.250 0.750 0.000
O 0.750 0.250 0.000
Tb 0.250 0.750 0.500
Tb 0.750 0.250 0.500
Sm 0.250 0.250 0.113
Sm 0.750 0.750 0.887
N 0.750 0.750 0.384
N 0.250 0.250 0.616

# 6
Crystalline NbBIrAu at its relaxed geometry, computed with PBE-GGA.

Summary:
Relative energy among the computed polymorphs, eV/f.u.: 0.87

Lattice parameters (Å, degrees): 4.396 4.396 4.396 60.00 60.00 60.00
Positions (direct):
Au 0.750 0.750 0.750
B 0.000 0.000 0.000
Ir 0.250 0.250 0.250
Nb 0.500 0.500 0.500